The following is a PBE+U calculation of IrWNF2 after structural relaxation, from the Alexandria database.

Unit cell a=4.1715 b=4.1715 c=4.0751 alpha=90.00 beta=90.00 gamma=90.00
Site moments in Bohr magnetons follow the coordinates.
Fractional positions:
W (0.0000, 0.0000, 0.0000)  1.95
Ir (0.5000, 0.5000, 0.5000)  1.52
F (0.0000, 0.5000, 0.0000)  0.06
F (0.5000, 0.0000, 0.0000)  0.06
N (0.0000, 0.0000, 0.5000)  -0.28

Properties
**Fermi-level density of states**: 4.47 states/eV/cell
**Total energy**: -27.50 eV per cell